{
  "formula": "MnBiSF2",
  "functional": "GGA+U",
  "state": "relaxed",
  "lattice": [[4.321, 0.000, 0.000], [0.000, 6.250, 0.000], [0.000, 0.000, 4.321]],
  "species": ["F", "F", "S", "Bi", "Mn"],
  "frac_coords": [[0.000, 0.000, 0.500], [0.500, 0.000, 0.000], [0.500, 0.500, 0.500], [0.000, 0.000, 0.000], [0.000, 0.500, 0.000]],
  "total_magnetization_mub_per_fu": 4.306,
  "e_tot_ev_per_atom": -4.8028,
  "space_group": "P4/mmm, No. 123"
}